1.
The following is a DFT calculation (GGA-PBE) of Sm2HoMg3InGa2 after structural relaxation.

Summary:
For the total energy, the calculation gives -3.516 eV per atom. The space group is No. 38.

abc: 4.588 7.374 7.374
angles: 119.52 90.00 90.00
Fractional positions:
Sm  0.000  0.218  0.782
Sm  0.000  0.782  0.218
Ho  0.000  0.655  0.655
Mg  0.500  0.220  0.469
Mg  0.500  0.469  0.220
Mg  0.500  0.971  0.971
In  0.000  0.224  0.224
Ga  0.500  0.554  0.883
Ga  0.500  0.883  0.554

2.
The following is a DFT calculation (GGA-PBE) of TbSn2TeO6 after structural relaxation.

Summary:
For the total energy, the calculation gives -6.135 eV per atom. The space group is No. 14.

abc: 6.125 5.797 10.253
angles: 90.00 125.10 90.00
Fractional positions:
Tb  0.000  0.000  0.000
Tb  0.000  0.500  0.500
Sn  0.282  0.048  0.759
Sn  0.282  0.452  0.259
Sn  0.718  0.548  0.741
Sn  0.718  0.952  0.241
Te  0.500  0.000  0.500
Te  0.500  0.500  0.000
O  0.194  0.058  0.264
O  0.194  0.442  0.764
O  0.294  0.204  0.563
O  0.294  0.296  0.063
O  0.343  0.710  0.538
O  0.343  0.790  0.038
O  0.657  0.210  0.962
O  0.657  0.290  0.462
O  0.706  0.704  0.937
O  0.706  0.796  0.437
O  0.806  0.558  0.236
O  0.806  0.942  0.736

3.
The following is a DFT calculation (GGA-PBE) of RbSmPu after structural relaxation.

Summary:
The energy above the lowest structure with this stoichiometry is 0 meV/atom. The space group is No. 216.

abc: 5.958 5.958 5.958
angles: 60.00 60.00 60.00
Fractional positions:
Rb  0.000  0.000  0.000
Sm  0.750  0.750  0.750
Pu  0.500  0.500  0.500

4.
The following is a DFT calculation (GGA-PBE) of NaSmHgTe3 after structural relaxation.

Summary:
The energy above the lowest structure with this stoichiometry is 0 meV/atom. The space group is No. 63.

abc: 7.790 7.790 11.819
angles: 90.00 90.00 146.95
Fractional positions:
Na  0.229  0.771  0.750
Na  0.771  0.229  0.250
Sm  0.000  0.000  0.000
Sm  0.000  0.000  0.500
Hg  0.468  0.532  0.250
Hg  0.532  0.468  0.750
Te  0.093  0.907  0.250
Te  0.356  0.644  0.058
Te  0.356  0.644  0.442
Te  0.644  0.356  0.558
Te  0.644  0.356  0.942
Te  0.907  0.093  0.750

5.
The following is a DFT calculation (GGA-PBE) of BeInCuPt after structural relaxation.

Summary:
The energy above the lowest structure with this stoichiometry is 0 meV/atom. The space group is No. 216.

abc: 4.362 4.362 4.362
angles: 60.00 60.00 60.00
Fractional positions:
Be  0.000  0.000  0.000
In  0.500  0.500  0.500
Cu  0.750  0.750  0.750
Pt  0.250  0.250  0.250

6.
The following is a DFT calculation (GGA-PBE) of BeBPd2 after structural relaxation.

Summary:
For the total energy, the calculation gives -4.748 eV per atom. The space group is No. 216.

abc: 4.077 4.077 4.077
angles: 60.00 60.00 60.00
Fractional positions:
Be  0.000  0.000  0.000
B  0.250  0.250  0.250
Pd  0.500  0.500  0.500
Pd  0.750  0.750  0.750

7.
The following is a DFT calculation (GGA-PBE) of PrFeNiP2 after structural relaxation.

Summary:
For the total energy, the calculation gives -6.816 eV per atom. The space group is No. 119.

abc: 5.647 5.647 5.647
angles: 139.36 139.36 58.82
Fractional positions:
Pr  0.000  0.000  0.000
Fe  0.250  0.750  0.500
Ni  0.750  0.250  0.500
P  0.367  0.367  0.000
P  0.633  0.633  0.000

8.
The following is a DFT calculation (GGA-PBE) of MgNbCuSb after structural relaxation.

Summary:
The energy above the lowest structure with this stoichiometry is 200 meV/atom. The space group is No. 216.

abc: 4.736 4.736 4.736
angles: 60.00 60.00 60.00
Fractional positions:
Mg  0.000  0.000  0.000
Nb  0.750  0.750  0.750
Cu  0.500  0.500  0.500
Sb  0.250  0.250  0.250

9.
The following is a DFT calculation (GGA-PBE) of TlZnBr3 after structural relaxation.

Summary:
For the total energy, the calculation gives -2.617 eV per atom. The space group is No. 1.

abc: 6.641 6.924 8.668
angles: 67.68 88.04 83.72
Fractional positions:
Tl  0.000  0.000  0.000
Tl  0.496  0.240  0.506
Zn  0.462  0.502  0.902
Zn  0.958  0.645  0.604
Br  0.307  0.737  0.629
Br  0.308  0.557  0.138
Br  0.481  0.145  0.922
Br  0.798  0.924  0.370
Br  0.810  0.616  0.879
Br  0.978  0.307  0.583

10.
The following is a DFT calculation (GGA-PBE) of Tc4AgC2 after structural relaxation.

Summary:
For the total energy, the calculation gives -7.801 eV per atom. The space group is No. 123.

abc: 3.796 3.796 6.342
angles: 90.00 90.00 90.00
Fractional positions:
Tc  0.000  0.500  0.189
Tc  0.000  0.500  0.811
Tc  0.500  0.000  0.189
Tc  0.500  0.000  0.811
Ag  0.000  0.000  0.500
C  0.000  0.000  0.000
C  0.500  0.500  0.500

11.
The following is a DFT calculation (GGA-PBE) of ZnNiPbS3 after structural relaxation.

Summary:
The energy above the lowest structure with this stoichiometry is 6 meV/atom. The space group is No. 63.

abc: 6.740 6.740 9.605
angles: 90.00 90.00 147.89
Fractional positions:
Zn  0.000  0.000  0.000
Zn  0.000  0.000  0.500
Ni  0.477  0.523  0.750
Ni  0.523  0.477  0.250
Pb  0.243  0.757  0.250
Pb  0.757  0.243  0.750
S  0.072  0.928  0.750
S  0.372  0.628  0.563
S  0.372  0.628  0.937
S  0.628  0.372  0.063
S  0.628  0.372  0.437
S  0.928  0.072  0.250

12.
The following is a DFT calculation (GGA-PBE) of LaGa2PdAu after structural relaxation.

Summary:
For the total energy, the calculation gives -4.657 eV per atom. The space group is No. 129.

abc: 4.461 4.461 10.390
angles: 90.00 90.00 90.00
Fractional positions:
La  0.250  0.250  0.247
La  0.750  0.750  0.753
Ga  0.250  0.250  0.883
Ga  0.250  0.750  0.500
Ga  0.750  0.250  0.500
Ga  0.750  0.750  0.117
Pd  0.250  0.750  0.000
Pd  0.750  0.250  0.000
Au  0.250  0.250  0.636
Au  0.750  0.750  0.364

Which formula does entry 7 have?
PrFeNiP2